# 1
Below is a relaxed structure of KGa3Ge3, with properties calculated at the PBE level.

For the formation energy, the calculation gives -0.05 eV per atom. As for the polymorph energy (0 for the lowest one): 0 meV per atom. Its density is 4.22 g/cm3.

The space group is Pm-3n (No. 223) and the conventional cell measures 7.1607, 7.1607 and 7.1607 Å, with angles of 90.00, 90.00 and 90.00 degrees. The asymmetric unit holds K at (0.0000, 0.0000, 0.0000), Ga at (0.0000, 0.2500, 0.5000) and Ge at (0.0000, 0.5000, 0.2500).


# 2
Below is a relaxed structure of Na2CeHoO4, with properties calculated at the PBE level.

For the energy relative to the elements, uncorrected, the calculation gives -2687 meV per atom. Its density is 5.78 g/cm3.

The space group is P2/m (No. 10) and the conventional cell measures 5.9652, 3.4954 and 6.0753 Å, with angles of 90.00, 109.83 and 90.00 degrees. The asymmetric unit holds Na at (0.0000, 0.0000, 0.0000), Na at (0.0000, 0.5000, 0.5000), Ce at (0.5000, 0.0000, 0.5000), Ho at (0.5000, 0.5000, 0.0000), O at (0.2849, 0.5000, 0.2509) and O at (0.2890, 0.0000, 0.7714).


# 3
Below is a relaxed structure of MgZrZn2, with properties calculated at the PBE level.

For the formation energy, the calculation gives -0.04 eV per atom. Its density is 5.35 g/cm3.

The space group is C2/m (No. 12) and the conventional cell measures 8.8887, 3.0683 and 5.6840 Å, with angles of 90.00, 99.74 and 90.00 degrees. The asymmetric unit holds Mg at (0.0000, 0.0000, 0.0000), Zr at (0.0000, 0.5000, 0.5000) and Zn at (0.2483, 0.5000, 0.2393).


For the records above, the corresponding volume values read 26.226, 14.895, 19.098 Å³ per atom.
For the records above, the corresponding N(E_F) values read 10.28, 2.41, 4.16 states/eV/cell.
For the records above, the corresponding total DFT energy (no corrections) values read -48.7, -54.5, -25.7 eV for the cell shown.